Record 1
Hf3AlTc4 (PBE, optimized geometry); formation energy from the elements = -0.4118 eV/atom; space-group type = No. 123; magnetic moment = 0.2 μB/cell; mass density = 11.85 g/cm3; final energy = -9.80 eV/atom
1.0
3.2680 0.0000 0.0000
0.0000 3.2680 0.0000
0.0000 0.0000 12.5242
Hf Al Tc
3 1 4
Direct
0.0000 0.0000 0.0000
0.0000 0.0000 0.2591
0.0000 0.0000 0.7409
0.0000 0.0000 0.5000
0.5000 0.5000 0.1306
0.5000 0.5000 0.3933
0.5000 0.5000 0.6067
0.5000 0.5000 0.8694



Record 2
CrCoRh (PBE, optimized geometry); formation energy from the elements = 0.0204 eV/atom; space-group type = No. 44; magnetic moment = 0.7 μB/cell; mass density = 9.68 g/cm3; final energy = -8.01 eV/atom
1.0
-1.3064 1.7901 3.9214
1.3064 -1.7901 3.9214
1.3064 1.7901 -3.9214
Cr Co Rh
1 1 1
Direct
0.0000 0.0000 0.0000
0.3441 0.3441 0.0000
0.6712 0.6712 0.0000



Question: Among the records above, which one has the lowest formation energy from the elements?
Answer: Hf3AlTc4



Copy entry 2 word for word.
CrCoRh (PBE, optimized geometry); formation energy from the elements = 0.0204 eV/atom; space-group type = No. 44; magnetic moment = 0.7 μB/cell; mass density = 9.68 g/cm3; final energy = -8.01 eV/atom
1.0
-1.3064 1.7901 3.9214
1.3064 -1.7901 3.9214
1.3064 1.7901 -3.9214
Cr Co Rh
1 1 1
Direct
0.0000 0.0000 0.0000
0.3441 0.3441 0.0000
0.6712 0.6712 0.0000



Question: Among the records above, which one has the lowest mass density?
Answer: CrCoRh